AlSbO3, relaxed, DFT PBE; energy relative to the elements, uncorrected = -1834 meV per atom; total magnetization = 0.00 μB per formula unit; mass density = 5.0 Mg/m³
1.0
-0.948 1.779 -4.826
-5.285 0.271 1.138
1.089 8.680 2.986
Al Sb O
4 4 12
Direct
0.959 0.548 0.750
0.459 0.952 0.250
0.541 0.048 0.750
0.041 0.452 0.250
0.000 0.000 0.500
0.500 0.500 0.500
0.500 0.500 0.000
0.000 0.000 0.000
0.636 0.851 0.403
0.136 0.649 0.597
0.864 0.351 0.097
0.364 0.149 0.903
0.364 0.149 0.597
0.864 0.351 0.403
0.136 0.649 0.903
0.636 0.851 0.097
0.169 0.763 0.250
0.669 0.737 0.750
0.331 0.263 0.250
0.831 0.237 0.750